VASP calculation (PBE) on a relaxed structure of Sr2Cd12Ag3Ge.

Total magnetic moment (μB/cell): 0.000
Energy relative to the elements (eV/atom): -0.035
Space group: No. 166

```
Sr2Cd12Ag3Ge
1.0
-6.434 -3.869 -13.013
-1.406 -7.151 -13.137
-6.224 -9.151 -10.161
Cd Ag Ge Sr
12 3 1 2
direct
0.391 0.874 0.391 Cd
0.609 0.609 0.126 Cd
0.109 0.109 0.609 Cd
0.874 0.391 0.391 Cd
0.609 0.126 0.609 Cd
0.609 0.109 0.109 Cd
0.891 0.891 0.391 Cd
0.391 0.891 0.891 Cd
0.109 0.609 0.109 Cd
0.126 0.609 0.609 Cd
0.391 0.391 0.874 Cd
0.891 0.391 0.891 Cd
0.500 0.000 0.000 Ag
0.000 0.000 0.500 Ag
0.000 0.500 0.000 Ag
0.000 0.000 0.000 Ge
0.351 0.351 0.351 Sr
0.649 0.649 0.649 Sr
```